ReTeRh2: optimized geometry, GGA-PBE.

Lattice parameters (Å, degrees): 2.958 3.859 5.759 90.00 90.00 90.00
Space group Pmmm (No. 47)
Symmetry-distinct sites (fractional):
Re (0.000, 0.000, 0.000)
Te (0.000, 0.000, 0.500)
Rh (0.500, 0.500, 0.226)

E = -29.4 eV/cell
crystal system = orthorhombic

Ti2PbW: optimized geometry, GGA-PBE.

Lattice parameters (Å, degrees): 4.507 4.507 3.502 90.00 90.00 90.00
Space group P4/mmm (No. 123)
Symmetry-distinct sites (fractional):
Ti (0.000, 0.500, 0.000)
Pb (0.000, 0.000, 0.500)
W (0.500, 0.500, 0.500)

E = -32.1 eV/cell
crystal system = tetragonal
energy relative to the elements = 0.0784 eV/atom

Cu2ReSb: optimized geometry, GGA-PBE.

Lattice parameters (Å, degrees): 3.765 3.832 8.316 90.00 90.00 90.00
Space group Imm2 (No. 44)
Symmetry-distinct sites (fractional):
Cu (0.000, 0.000, 0.000)
Cu (0.000, 0.500, 0.254)
Re (0.000, 0.500, 0.751)
Sb (0.000, 0.000, 0.502)

E = -46.7 eV/cell
crystal system = orthorhombic